VASP calculation (GGA-PBE) on crystalline TaNbGa2 at its relaxed geometry.

Lattice parameters (Å, degrees): 3.7618 5.2695 6.7573 90.00 90.00 90.00
Last column: nearest neighbours and their distance in Å.
Sites, in units of the cell vectors:
1 Ta 0.5000 0.3721 0.3326  7 Ga 2.65-2.93
2 Ga 0.5000 0.8919 0.4510  2 Ga 2.49, 1 Ta 2.65, 4 Nb 2.69
3 Ga 0.5000 0.1081 0.9510  2 Ga 2.49, 1 Ta 2.65, 4 Nb 2.69
4 Nb 0.0000 0.8710 0.1675  7 Ga 2.65-2.92
5 Nb 0.0000 0.1290 0.6675  7 Ga 2.65-2.92
6 Ga 0.0000 0.3911 0.0489  2 Ga 2.49, 1 Nb 2.65, 4 Ta 2.69
7 Ga 0.0000 0.6089 0.5489  2 Ga 2.49, 1 Nb 2.65, 4 Ta 2.69
8 Ta 0.5000 0.6279 0.8326  7 Ga 2.65-2.93

Results
Energy relative to the lowest polymorph listed for this composition = 0.000 eV/atom
Final energy = -7.25 eV per atom
V = 133.9 Å³ per cell
Formation energy from the elements = -0.2540 eV/atom